1.
{"formula": "PmZnGa3", "functional": "PBE", "state": "optimized geometry", "lattice_angstrom": [[4.048, 0.003, 1.398], [-0.479, 4.012, 1.400], [0.149, 0.161, 6.124]], "species": ["Ga", "Zn", "Pm", "Ga", "Ga"], "frac_coords": [[0.647, 0.954, 0.408], [0.017, 0.820, 0.669], [0.401, 0.204, 0.904], [0.151, 0.451, 0.407], [0.792, 0.595, 0.124]], "mass_density_g_cm3": 7.14, "e_tot_ev_per_atom": -3.48, "delta_e_f_ev_per_atom": -0.46, "vol_a3_per_atom": 19.524}



2.
{"formula": "RuPb2Cl", "functional": "PBE", "state": "optimized geometry", "lattice_angstrom": [[-3.927, -3.024, -1.174], [-4.698, 1.939, -0.329], [-2.269, 0.420, -4.540]], "species": ["Ru", "Pb", "Cl", "Pb"], "frac_coords": [[0.500, 0.500, 0.500], [0.750, 0.750, 0.750], [0.000, 0.000, 0.000], [0.250, 0.250, 0.250]], "formation_energy_uncorrected_kj_per_mol_atoms": 45, "mass_density_g_cm3": 9.79, "e_tot_ev_per_atom": -4.17, "vol_a3_per_atom": 23.356}



3.
{"formula": "CaAcTl2Ag2", "functional": "PBE", "state": "optimized geometry", "lattice_angstrom": [[5.029, 0.000, 0.000], [-2.514, 4.355, 0.000], [0.000, 0.000, 7.550]], "species": ["Ca", "Tl", "Ag", "Ag", "Tl", "Ac"], "frac_coords": [[0.000, 0.000, 0.500], [0.333, 0.667, 0.266], [0.667, 0.333, 0.271], [0.333, 0.667, 0.729], [0.667, 0.333, 0.734], [0.000, 0.000, 0.000]], "mass_density_g_cm3": 8.95, "e_tot_ev_per_atom": -3.05, "delta_e_f_ev_per_atom": -0.30, "vol_a3_per_atom": 27.558}



4.
{"formula": "MgTe2Cl", "functional": "PBE", "state": "optimized geometry", "lattice_angstrom": [[5.299, 0.060, 0.106], [-1.707, 5.020, -0.089], [1.885, 2.456, 4.297]], "species": ["Te", "Te", "Mg", "Cl"], "frac_coords": [[0.000, 0.000, 0.000], [0.500, 0.000, 0.500], [0.500, 0.500, 0.000], [0.000, 0.500, 0.500]], "formation_energy_uncorrected_kj_per_mol_atoms": -30, "mass_density_g_cm3": 4.57, "e_tot_ev_per_atom": -2.74, "vol_a3_per_atom": 28.614}



5.
{"formula": "ZnRe2IrPb", "functional": "PBE", "state": "optimized geometry", "lattice_angstrom": [[4.565, 0.000, 0.000], [0.000, 4.807, 0.000], [0.000, 0.000, 4.565]], "species": ["Pb", "Ir", "Zn", "Re", "Re"], "frac_coords": [[0.000, 0.500, 0.000], [0.500, 0.500, 0.500], [0.000, 0.000, 0.000], [0.500, 0.000, 0.000], [0.000, 0.000, 0.500]], "mass_density_g_cm3": 13.88, "e_tot_ev_per_atom": -5.54, "delta_e_f_ev_per_atom": 2.21, "vol_a3_per_atom": 20.035}



6.
{"formula": "Ba3Sc2", "functional": "PBE", "state": "optimized geometry", "lattice_angstrom": [[15.776, -1.952, -0.004], [15.776, 1.952, -0.004], [15.536, 0.000, 3.367]], "species": ["Sc", "Sc", "Ba", "Ba", "Ba"], "frac_coords": [[0.603, 0.603, 0.603], [0.397, 0.397, 0.397], [0.207, 0.207, 0.207], [0.793, 0.793, 0.793], [0.000, 0.000, 0.000]], "mass_density_g_cm3": 4.01, "e_tot_ev_per_atom": -3.27, "delta_e_f_ev_per_atom": 0.41, "vol_a3_per_atom": 41.529}



Please write out number 3 again, unchanged.
{"formula": "CaAcTl2Ag2", "functional": "PBE", "state": "optimized geometry", "lattice_angstrom": [[5.029, 0.000, 0.000], [-2.514, 4.355, 0.000], [0.000, 0.000, 7.550]], "species": ["Ca", "Tl", "Ag", "Ag", "Tl", "Ac"], "frac_coords": [[0.000, 0.000, 0.500], [0.333, 0.667, 0.266], [0.667, 0.333, 0.271], [0.333, 0.667, 0.729], [0.667, 0.333, 0.734], [0.000, 0.000, 0.000]], "mass_density_g_cm3": 8.95, "e_tot_ev_per_atom": -3.05, "delta_e_f_ev_per_atom": -0.30, "vol_a3_per_atom": 27.558}



What did the first record say?
{"formula": "PmZnGa3", "functional": "PBE", "state": "optimized geometry", "lattice_angstrom": [[4.048, 0.003, 1.398], [-0.479, 4.012, 1.400], [0.149, 0.161, 6.124]], "species": ["Ga", "Zn", "Pm", "Ga", "Ga"], "frac_coords": [[0.647, 0.954, 0.408], [0.017, 0.820, 0.669], [0.401, 0.204, 0.904], [0.151, 0.451, 0.407], [0.792, 0.595, 0.124]], "mass_density_g_cm3": 7.14, "e_tot_ev_per_atom": -3.48, "delta_e_f_ev_per_atom": -0.46, "vol_a3_per_atom": 19.524}